Sr6Bi2SeN | the Alexandria database | PBE-GGA | relaxed; energy relative to the elements, uncorrected = -1.00 eV per atom; SG = P2_1/c, No. 14; crystal system = monoclinic; E = -3.970 eV per atom; N(E_F) = 8.4 states/eV per cell
1.0
-4.133 2.611 5.985
-1.411 -7.556 2.322
9.142 0.201 6.209
Bi Sr N Se
4 12 2 2
direct
0.016 0.950 0.249
0.484 0.450 0.251
0.516 0.550 0.749
0.984 0.050 0.751
0.276 0.688 0.037
0.072 0.481 0.769
0.428 0.981 0.731
0.313 0.726 0.461
0.928 0.519 0.231
0.776 0.812 0.537
0.813 0.774 0.961
0.572 0.019 0.269
0.187 0.226 0.039
0.224 0.188 0.463
0.724 0.312 0.963
0.687 0.274 0.539
0.000 0.500 0.000
0.500 0.000 0.500
0.000 0.500 0.500
0.500 0.000 0.000

***

SrBiSe2N | the Alexandria database | PBE-GGA | relaxed; energy relative to the elements, uncorrected = -0.06 eV per atom; SG = P4/mmm, No. 123; crystal system = tetragonal; E = -4.235 eV per atom; energy relative to the lowest polymorph listed for this composition = 0 meV/atom; N(E_F) = 2.8 states/eV per cell
1.0
-5.064 1.850 1.544
0.435 -2.832 4.821
1.875 3.539 1.910
Se N Sr Bi
2 1 1 1
direct
0.000 0.500 0.000
0.500 0.000 0.000
0.000 0.000 0.500
0.500 0.500 0.500
0.000 0.000 0.000

***

TaBiSe2N | the Alexandria database | PBE-GGA | relaxed; energy relative to the elements, uncorrected = 1.54 eV per atom; SG = P4/mmm, No. 123; crystal system = tetragonal; E = -4.669 eV per atom; energy relative to the lowest polymorph listed for this composition = 1668 meV/atom; N(E_F) = 4.4 states/eV per cell
1.0
5.435 0.000 0.000
0.000 5.435 0.000
0.000 0.000 4.131
N Bi Ta Se
1 1 1 2
direct
0.000 0.000 0.500
0.000 0.000 0.000
0.500 0.500 0.500
0.000 0.500 0.000
0.500 0.000 0.000

***

TaBiSe2N | the Alexandria database | PBE-GGA | relaxed; energy relative to the elements, uncorrected = -0.13 eV per atom; SG = P4/mmm, No. 123; crystal system = tetragonal; E = -6.337 eV per atom; energy relative to the lowest polymorph listed for this composition = 0 meV/atom; N(E_F) = 3.3 states/eV per cell
1.0
-3.730 -0.552 3.653
-1.191 -4.734 -1.932
2.609 -1.642 2.415
Ta Se N Bi
1 2 1 1
direct
0.000 0.000 0.000
0.500 0.000 0.000
0.000 0.500 0.000
0.000 0.000 0.500
0.500 0.500 0.500

***

Tb3BiSeN | the Alexandria database | PBE-GGA | relaxed; energy relative to the elements, uncorrected = -1.32 eV per atom; SG = P2_1/m, No. 11; crystal system = monoclinic; E = -6.248 eV per atom; N(E_F) = 4.9 states/eV per cell
1.0
-2.834 -2.957 0.627
6.013 -4.882 4.152
-3.436 4.790 7.063
Tb N Se Bi
6 2 2 2
direct
0.750 0.890 0.163
0.750 0.413 0.151
0.250 0.846 0.488
0.250 0.110 0.837
0.750 0.154 0.512
0.250 0.587 0.849
0.250 0.093 0.599
0.750 0.907 0.401
0.750 0.352 0.837
0.250 0.648 0.163
0.250 0.173 0.213
0.750 0.827 0.787

***

TcBiSeN2 | the Alexandria database | PBE-GGA | relaxed; energy relative to the elements, uncorrected = 0.63 eV per atom; SG = P4/mmm, No. 123; crystal system = tetragonal; E = -6.251 eV per atom; energy relative to the lowest polymorph listed for this composition = 0 meV/atom; N(E_F) = 3.1 states/eV per cell
1.0
-1.484 -3.161 -1.948
3.713 -1.248 -0.803
0.036 -2.756 4.446
N Bi Tc Se
2 1 1 1
direct
0.000 0.500 0.000
0.500 0.000 0.000
0.500 0.500 0.500
0.000 0.000 0.000
0.000 0.000 0.500

***

TcBiSeN2 | the Alexandria database | PBE-GGA | relaxed; energy relative to the elements, uncorrected = 1.99 eV per atom; SG = P4/mmm, No. 123; crystal system = tetragonal; E = -4.887 eV per atom; energy relative to the lowest polymorph listed for this composition = 1364 meV/atom; N(E_F) = 5.0 states/eV per cell
1.0
-2.487 0.180 -3.383
-3.144 -1.686 2.222
-1.773 5.402 1.591
Se Bi N Tc
1 1 2 1
direct
0.000 0.000 0.500
0.000 0.000 0.000
0.500 0.000 0.000
0.000 0.500 0.000
0.500 0.500 0.500

***

BiTeSeN2 | the Alexandria database | PBE-GGA | relaxed; energy relative to the elements, uncorrected = 1.51 eV per atom; SG = P4/mmm, No. 123; crystal system = tetragonal; E = -3.921 eV per atom; energy relative to the lowest polymorph listed for this composition = 293 meV/atom; N(E_F) = 3.8 states/eV per cell
1.0
4.355 0.000 0.000
0.000 4.355 0.000
0.000 0.000 6.103
Se N Bi Te
1 2 1 1
direct
0.000 0.000 0.500
0.500 0.000 0.000
0.000 0.500 0.000
0.000 0.000 0.000
0.500 0.500 0.500

***

BiTeSeN2 | the Alexandria database | PBE-GGA | relaxed; energy relative to the elements, uncorrected = 1.22 eV per atom; SG = P4/mmm, No. 123; crystal system = tetragonal; E = -4.214 eV per atom; energy relative to the lowest polymorph listed for this composition = 0 meV/atom; N(E_F) = 1.3 states/eV per cell
1.0
4.203 0.000 0.000
0.000 4.203 0.000
0.000 0.000 5.401
Te N Se Bi
1 2 1 1
direct
0.000 0.000 0.000
0.000 0.500 0.000
0.500 0.000 0.000
0.000 0.000 0.500
0.500 0.500 0.500

***

BiTeSe2N | the Alexandria database | PBE-GGA | relaxed; energy relative to the elements, uncorrected = 1.04 eV per atom; SG = P4/mmm, No. 123; crystal system = tetragonal; E = -3.420 eV per atom; energy relative to the lowest polymorph listed for this composition = 360 meV/atom; N(E_F) = 5.7 states/eV per cell
1.0
5.579 0.000 0.000
0.000 5.579 0.000
0.000 0.000 4.170
Te N Bi Se
1 1 1 2
direct
0.500 0.500 0.500
0.000 0.000 0.500
0.000 0.000 0.000
0.000 0.500 0.000
0.500 0.000 0.000

***

BiTeSeN2 | the Alexandria database | PBE-GGA | relaxed; energy relative to the elements, uncorrected = 1.58 eV per atom; SG = P4/mmm, No. 123; crystal system = tetragonal; E = -3.856 eV per atom; energy relative to the lowest polymorph listed for this composition = 357 meV/atom; N(E_F) = 2.2 states/eV per cell
1.0
4.248 0.000 0.000
0.000 4.248 0.000
0.000 0.000 5.466
Se N Bi Te
1 2 1 1
direct
0.000 0.000 0.000
0.000 0.500 0.000
0.500 0.000 0.000
0.500 0.500 0.500
0.000 0.000 0.500

***

BiTeSeN2 | the Alexandria database | PBE-GGA | relaxed; energy relative to the elements, uncorrected = 1.53 eV per atom; SG = P4/mmm, No. 123; crystal system = tetragonal; E = -3.897 eV per atom; energy relative to the lowest polymorph listed for this composition = 316 meV/atom; N(E_F) = 3.8 states/eV per cell
1.0
-3.492 2.213 -1.001
-0.590 -2.473 -3.410
-3.926 -4.435 3.894
N Se Te Bi
2 1 1 1
direct
0.000 0.500 0.000
0.500 0.000 0.000
0.500 0.500 0.500
0.000 0.000 0.500
0.000 0.000 0.000